(1)
CsIn3As3 | GGA-PBE | relaxed

Cell lengths 8.0100, 8.0100, 26.6821 Å; angles 90.00, 90.00, 120.00 degrees
Closest atoms and distances in Å follow each position.
Space group R-3 (No. 148, hexagonal axes)
Asymmetric unit:
Cs: 0.0000 0.0000 0.1665 [6 per cell]  6 As 3.77
In: 0.0012 0.3365 0.2932 [18 per cell]  4 As 2.75-2.85
As: 0.0003 0.3320 0.7334 [18 per cell]  4 In 2.75-2.85

Calculated values
magnetic moment = 0.0 μB/f.u.
ΔH_f (0 K) = -0.25 eV/atom

(2)
RePb2BrO4 | GGA-PBE | relaxed

Cell lengths 10.0587, 3.5133, 9.3255 Å; angles 90.00, 111.29, 90.00 degrees
Closest atoms and distances in Å follow each position.
Space group C2/m (No. 12)
Asymmetric unit:
Re: 0.0000 0.0000 0.0000 [2 per cell]  2 O 1.83
Pb: 0.1798 0.0000 0.7834 [4 per cell]  5 O 2.52-2.69
Br: 0.0000 0.5000 0.5000 [2 per cell]  4 Pb 3.14, 2 Br 3.51
O: 0.1013 0.5000 0.9570 [4 per cell]  2 Re 2.14
O: 0.1348 0.0000 0.1955 [4 per cell]  1 Re 1.83

Calculated values
magnetic moment = 0.0 μB/f.u.
energy relative to the elements, uncorrected = -8.98 eV per formula unit

(3)
BaPa2AuO8 | GGA-PBE | relaxed

Cell lengths 5.5126, 7.0899, 5.5656 Å; angles 90.00, 98.36, 90.00 degrees
Closest atoms and distances in Å follow each position.
Space group P2/m (No. 10)
Asymmetric unit:
Ba: 0.0000 0.0000 0.0000 [1 per cell]  4 O 2.58
Pa: 0.5000 0.2573 0.5000 [2 per cell]  6 O 2.14-2.24
Au: 0.0000 0.5000 0.0000 [1 per cell]  4 O 2.01
O: 0.1986 0.3027 0.1984 [4 per cell]  1 Au 2.01, 1 Pa 2.21
O: 0.3454 0.0000 0.6546 [2 per cell]  2 Pa 2.24
O: 0.3457 0.5000 0.6510 [2 per cell]  2 Pa 2.14

Calculated values
magnetic moment = 0.7 μB/f.u.
energy relative to the elements, uncorrected = -29.42 eV per formula unit

(4)
Pr3Ho8Tm3 | GGA-PBE | relaxed

Cell lengths 5.6330, 10.7930, 14.9742 Å; angles 90.00, 90.00, 90.00 degrees
Closest atoms and distances in Å follow each position.
Space group Immm (No. 71)
Asymmetric unit:
Pr: 0.0000 0.0000 0.0000 [2 per cell]  4 Tm 3.58, 4 Pr 3.93, 4 Ho 4.00
Pr: 0.0000 0.5000 0.3171 [4 per cell]  2 Tm 3.52, 8 Ho 3.61-3.70, 2 Pr 3.93
Ho: 0.0000 0.1607 0.2797 [8 per cell]  6 Ho 3.30-3.53, 1 Tm 3.60, 2 Pr 3.61
Ho: 0.0000 0.3425 0.1021 [8 per cell]  5 Ho 3.06-3.40
Tm: 0.0000 0.0000 0.5000 [2 per cell]  2 Tm 3.18
Tm: 0.0000 0.2946 0.5000 [4 per cell]  1 Tm 3.18, 2 Pr 3.52, 4 Ho 3.53

Calculated values
magnetic moment = 0.0 μB/f.u.
ΔH_f (0 K) = 0.11 eV/atom

(5)
Pr2SmDy2Tm | GGA-PBE | relaxed

Cell lengths 7.0634, 5.6893, 9.8558 Å; angles 90.00, 90.00, 90.00 degrees
Closest atoms and distances in Å follow each position.
Space group Pmma (No. 51)
Asymmetric unit:
Pr: 0.0000 0.0000 0.0000 [2 per cell]  6 Pr 3.53-3.79, 6 Dy 3.71-3.72, 2 Sm 3.82
Pr: 0.2500 0.5000 0.1794 [2 per cell]  5 Dy 3.22-3.54
Sm: 0.2500 0.0000 0.6565 [2 per cell]  5 Dy 3.20-3.53
Dy: 0.2500 0.0000 0.3315 [2 per cell]  3 Sm 3.20-3.53, 2 Pr 3.22
Dy: 0.2500 0.5000 0.8361 [2 per cell]  2 Sm 3.35, 7 Pr 3.38-3.72
Tm: 0.0000 0.5000 0.5000 [2 per cell]  2 Tm 3.53, 2 Pr 3.62, 4 Sm 3.69, 6 Dy 3.74-3.75

Calculated values
magnetic moment = 0.0 μB/f.u.
ΔH_f (0 K) = 0.06 eV/atom

(6)
Pr4Nd3SmTe8 | GGA-PBE | relaxed

Cell lengths 9.0145, 9.0145, 22.1184 Å; angles 90.00, 90.00, 120.00 degrees
Closest atoms and distances in Å follow each position.
Space group R-3m (No. 166, hexagonal axes)
Asymmetric unit:
Pr: 0.0000 0.0000 0.0000 [3 per cell]  6 Te 3.22
Pr: 0.0000 0.5000 0.0000 [9 per cell]  6 Te 3.20
Nd: 0.0000 0.5000 0.5000 [9 per cell]  6 Te 3.18
Sm: 0.0000 0.0000 0.5000 [3 per cell]  6 Te 3.16
Te: 0.0000 0.0000 0.2491 [6 per cell]  3 Nd 3.18, 3 Pr 3.20
Te: 0.0021 0.5011 0.2486 [18 per cell]  1 Sm 3.16, 2 Nd 3.18, 3 Pr 3.20-3.22

Calculated values
magnetic moment = 0.0 μB/f.u.
energy relative to the elements, uncorrected = -22.75 eV per formula unit

(7)
Si2PbAu | GGA-PBE | relaxed

Cell lengths 5.6112, 5.8689, 10.1391 Å; angles 90.00, 90.00, 90.00 degrees
Closest atoms and distances in Å follow each position.
Space group Fmmm (No. 69)
Asymmetric unit:
Si: 0.0000 0.2500 0.2500 [8 per cell]  4 Si 2.81-2.93, 2 Pb 2.93, 2 Au 2.93
Pb: 0.0000 0.0000 0.0000 [4 per cell]  4 Au 2.81-2.93, 4 Si 2.93
Au: 0.0000 0.0000 0.5000 [4 per cell]  4 Pb 2.81-2.93, 4 Si 2.93

Calculated values
magnetic moment = 0.0 μB/f.u.
energy relative to the elements, uncorrected = 1.73 eV per formula unit

(8)
CaNi2Pb | GGA-PBE | relaxed

Cell lengths 4.5607, 4.5607, 3.5415 Å; angles 90.00, 90.00, 90.00 degrees
Closest atoms and distances in Å follow each position.
Space group P4/mmm (No. 123)
Asymmetric unit:
Ca: 0.0000 0.0000 0.0000 [1 per cell]  8 Ni 2.89, 4 Pb 3.22
Ni: 0.0000 0.5000 0.5000 [2 per cell]  4 Pb 2.89, 4 Ca 2.89, 4 Ni 3.22
Pb: 0.5000 0.5000 0.0000 [1 per cell]  8 Ni 2.89, 4 Ca 3.22

Calculated values
magnetic moment = 0.0 μB/f.u.
ΔH_f (0 K) = 0.04 eV/atom

(9)
Zr3SeN | GGA-PBE | relaxed

Cell lengths 4.4851, 4.4851, 4.4851 Å; angles 90.00, 90.00, 90.00 degrees
Closest atoms and distances in Å follow each position.
Space group Pm-3m (No. 221)
Asymmetric unit:
Zr: 0.0000 0.0000 0.5000 [3 per cell]  2 N 2.24
Se: 0.5000 0.5000 0.5000 [1 per cell]  12 Zr 3.17
N: 0.0000 0.0000 0.0000 [1 per cell]  6 Zr 2.24

Calculated values
magnetic moment = 0.0 μB/f.u.
energy relative to the elements, uncorrected = -3.30 eV per formula unit

(10)
EuMgZn | GGA-PBE | relaxed

Cell lengths 3.5151, 3.5151, 12.3348 Å; angles 90.00, 90.00, 90.00 degrees
Closest atoms and distances in Å follow each position.
Space group I4mm (No. 107)
Asymmetric unit:
Eu: 0.0000 0.0000 0.0000 [2 per cell]  4 Zn 3.24, 4 Eu 3.52, 5 Mg 3.58-3.60
Mg: 0.0000 0.0000 0.7085 [2 per cell]  4 Zn 2.91
Zn: 0.0000 0.0000 0.3315 [2 per cell]  4 Mg 2.91, 4 Eu 3.24

Calculated values
magnetic moment = 7.3 μB/f.u.
ΔH_f (0 K) = -0.12 eV/atom

(11)
LaYUO6 | GGA-PBE | relaxed

Cell lengths 5.8459, 5.8459, 9.8847 Å; angles 90.00, 90.00, 120.00 degrees
Closest atoms and distances in Å follow each position.
Space group P-31c (No. 163)
Asymmetric unit:
La: 0.0000 0.0000 0.0000 [2 per cell]  6 O 2.48
Y: 0.3333 0.6667 0.2500 [2 per cell]  6 O 2.28
U: 0.3333 0.6667 0.7500 [2 per cell]  6 O 2.10
O: 0.0235 0.3654 0.6384 [12 per cell]  1 U 2.10, 1 Y 2.28

Calculated values
magnetic moment = 0.0 μB/f.u.
energy relative to the elements, uncorrected = -30.33 eV per formula unit

(12)
Zn2SiIrAu | GGA-PBE | relaxed

Cell lengths 4.5487, 4.5487, 4.4933 Å; angles 90.00, 90.00, 90.00 degrees
Closest atoms and distances in Å follow each position.
Space group P4/mmm (No. 123)
Asymmetric unit:
Zn: 0.0000 0.5000 0.0000 [2 per cell]  2 Si 2.27
Si: 0.0000 0.0000 0.0000 [1 per cell]  2 Ir 2.25, 4 Zn 2.27
Ir: 0.0000 0.0000 0.5000 [1 per cell]  2 Si 2.25
Au: 0.5000 0.5000 0.5000 [1 per cell]  8 Zn 3.20, 4 Ir 3.22

Calculated values
magnetic moment = 0.0 μB/f.u.
energy relative to the elements, uncorrected = 2.77 eV per formula unit

Number 1: volume 1483 Å³/cell. Number 2: volume 307 Å³/cell. Number 3: volume 215 Å³/cell. Number 4: volume 910 Å³/cell. Number 5: volume 396 Å³/cell. Number 6: volume 1556 Å³/cell. Number 7: volume 334 Å³/cell. Number 8: volume 74 Å³/cell. Number 9: volume 90 Å³/cell. Number 10: volume 152 Å³/cell. Number 11: volume 293 Å³/cell. Number 12: volume 93 Å³/cell.